Crystalline Y2Ho5Pu at its relaxed geometry, computed with PBE.

The calculation puts the uncorrected energy at -6.09 eV per atom. The value obtained for the density of states at the Fermi level is 35.77 states/eV/cell. Its energy of formation is 177 meV per atom.

The structure belongs to space group P-1 (No. 2); the cell edges are 6.303, 6.764 and 11.819 Å and the angles 83.47°, 83.63° and 89.92°. The asymmetric unit holds Y at (0.000, 0.000, 0.000), Y at (0.000, 0.000, 0.500), Y at (0.000, 0.500, 0.000), Y at (0.500, 0.000, 0.500), Ho at (0.130, 0.715, 0.255), Ho at (0.134, 0.223, 0.243), Ho at (0.248, 0.465, 0.508), Ho at (0.358, 0.060, 0.764), Ho at (0.496, 0.747, 0.003) and Pu at (0.386, 0.565, 0.752).

***

Crystalline K2RbAuF at its relaxed geometry, computed with PBE.

The calculation puts the uncorrected energy at -2.78 eV per atom. The value obtained for the density of states at the Fermi level is 8.43 states/eV/cell. Its formation energy (no corrections) is -1116 meV per atom.

The structure belongs to space group Cmcm (No. 63); the cell edges are 4.417, 18.243 and 8.822 Å and the angles 90.00°, 90.00° and 90.00°. The asymmetric unit holds K at (0.000, 0.149, 0.008), Rb at (0.000, 0.492, 0.250), Au at (0.000, 0.298, 0.250) and F at (0.000, 0.000, 0.000).

***

Crystalline NbAl3 at its relaxed geometry, computed with PBE.

The calculation puts the uncorrected energy at -5.68 eV per atom. The value obtained for the density of states at the Fermi level is 6.31 states/eV/cell. Its energy of formation is -359 meV per atom.

The structure belongs to space group I4/mmm (No. 139); the cell edges are 3.898, 3.898 and 16.842 Å and the angles 90.00°, 90.00° and 90.00°. The asymmetric unit holds Nb at (0.000, 0.000, 0.123), Al at (0.000, 0.000, 0.378), Al at (0.000, 0.500, 0.000) and Al at (0.000, 0.500, 0.250).

***

Crystalline Ba2In3GeAu4 at its relaxed geometry, computed with PBE.

The calculation puts the uncorrected energy at -3.49 eV per atom. The value obtained for the density of states at the Fermi level is 4.42 states/eV/cell. Its energy of formation is -514 meV per atom.

The structure belongs to space group P-4m2 (No. 115); the cell edges are 4.906, 4.906 and 11.012 Å and the angles 90.00°, 90.00° and 90.00°. The asymmetric unit holds Ba at (0.000, 0.500, 0.249), In at (0.000, 0.000, 0.000), In at (0.000, 0.500, 0.623), Ge at (0.500, 0.500, 0.000), Au at (0.000, 0.000, 0.500), Au at (0.000, 0.500, 0.877) and Au at (0.500, 0.500, 0.500).

***

Crystalline YSn2Os at its relaxed geometry, computed with PBE.

The calculation puts the uncorrected energy at -6.21 eV per atom. The value obtained for the density of states at the Fermi level is 11.63 states/eV/cell. Its energy of formation is 219 meV per atom.

The structure belongs to space group I-42d (No. 122); the cell edges are 4.250, 4.250 and 20.843 Å and the angles 90.00°, 90.00° and 90.00°. The asymmetric unit holds Y at (0.000, 0.000, 0.000), Sn at (0.233, 0.250, 0.625) and Os at (0.000, 0.000, 0.500).

***

Crystalline PmDy5Ho at its relaxed geometry, computed with PBE.

The calculation puts the uncorrected energy at -3.52 eV per atom. The value obtained for the density of states at the Fermi level is 18.09 states/eV/cell. Its energy of formation is 1103 meV per atom.

The structure belongs to space group Immm (No. 71); the cell edges are 5.774, 8.644 and 11.853 Å and the angles 90.00°, 90.00° and 90.00°. The asymmetric unit holds Pm at (0.000, 0.000, 0.000), Dy at (0.000, 0.000, 0.253), Dy at (0.000, 0.321, 0.500), Dy at (0.000, 0.500, 0.000) and Ho at (0.000, 0.000, 0.500).

***

Crystalline FeSiSeN2 at its relaxed geometry, computed with PBE.

The calculation puts the uncorrected energy at -6.24 eV per atom. The value obtained for the density of states at the Fermi level is 4.17 states/eV/cell. Its formation energy (no corrections) is 566 meV per atom.

The structure belongs to space group P4/mmm (No. 123); the cell edges are 3.435, 3.435 and 6.576 Å and the angles 90.00°, 90.00° and 90.00°. The asymmetric unit holds Fe at (0.000, 0.000, 0.000), Si at (0.500, 0.500, 0.500), Se at (0.500, 0.500, 0.000) and N at (0.000, 0.500, 0.500).

***

Crystalline Fe2PtRh at its relaxed geometry, computed with PBE.

The calculation puts the uncorrected energy at -7.65 eV per atom. The value obtained for the density of states at the Fermi level is 6.45 states/eV/cell. Its energy of formation is -70 meV per atom.

The structure belongs to space group Imm2 (No. 44); the cell edges are 2.897, 4.345 and 8.772 Å and the angles 90.00°, 90.00° and 90.00°. The asymmetric unit holds Fe at (0.000, 0.000, 0.000), Fe at (0.000, 0.500, 0.274), Pt at (0.000, 0.500, 0.750) and Rh at (0.000, 0.000, 0.527).

***

Crystalline Pa2SiAu3 at its relaxed geometry, computed with PBE.

The calculation puts the uncorrected energy at -6.14 eV per atom. The value obtained for the density of states at the Fermi level is 7.11 states/eV/cell. Its formation energy (no corrections) is -437 meV per atom.

The structure belongs to space group Pmm2 (No. 25); the cell edges are 3.269, 4.715 and 8.048 Å and the angles 90.00°, 90.00° and 90.00°. The asymmetric unit holds Pa at (0.000, 0.000, 0.000), Pa at (0.000, 0.500, 0.495), Si at (0.500, 0.000, 0.323), Au at (0.500, 0.000, 0.647), Au at (0.500, 0.500, 0.173) and Au at (0.500, 0.500, 0.830).

***

Crystalline BaLa3Pt at its relaxed geometry, computed with PBE.

The calculation puts the uncorrected energy at -4.94 eV per atom. The value obtained for the density of states at the Fermi level is 25.13 states/eV/cell. Its energy of formation is -389 meV per atom.

The structure belongs to space group C2/m (No. 12); the cell edges are 7.819, 13.052 and 8.412 Å and the angles 90.00°, 114.79° and 90.00°. The asymmetric unit holds Ba at (0.231, 0.000, 0.458), La at (0.103, 0.267, 0.753), La at (0.232, 0.000, 0.954) and Pt at (0.000, 0.163, 0.000).

***

Crystalline Pm3Tm4Sc at its relaxed geometry, computed with PBE.

The calculation puts the uncorrected energy at -4.78 eV per atom. The value obtained for the density of states at the Fermi level is 27.14 states/eV/cell. Its energy of formation is 25 meV per atom.

The structure belongs to space group Pmn2_1 (No. 31); the cell edges are 11.193, 7.208 and 6.196 Å and the angles 90.00°, 90.00° and 90.00°. The asymmetric unit holds Pm at (0.000, 0.127, 0.000), Pm at (0.250, 0.125, 0.333), Tm at (0.000, 0.377, 0.503), Tm at (0.000, 0.623, 0.000), Tm at (0.245, 0.623, 0.337) and Sc at (0.000, 0.869, 0.497).

***

Crystalline Sr6GaPd at its relaxed geometry, computed with PBE.

The calculation puts the uncorrected energy at -2.29 eV per atom. The value obtained for the density of states at the Fermi level is 21.69 states/eV/cell. Its energy of formation is -1 meV per atom.

The structure belongs to space group R-3m (No. 166, hexagonal axes); the cell edges are 14.5559, 14.5559 and 7.5357 Å and the angles 90.00°, 90.00° and 120.00°. The asymmetric unit holds Sr at (0.0954, 0.1909, 0.2330), Ga at (0.0000, 0.0000, 0.5000) and Pd at (0.0000, 0.0000, 0.0000).

***

Crystalline BaFe2S4 at its relaxed geometry, computed with PBE.

The calculation puts the uncorrected energy at -5.89 eV per atom. The value obtained for the density of states at the Fermi level is 9.71 states/eV/cell. Its formation energy (no corrections) is -837 meV per atom.

The structure belongs to space group I422 (No. 97); the cell edges are 7.891, 7.891 and 5.199 Å and the angles 90.00°, 90.00° and 90.00°. The asymmetric unit holds Ba at (0.000, 0.000, 0.000), Fe at (0.000, 0.500, 0.000) and S at (0.153, 0.347, 0.750).

***

Crystalline Ho3Si4Rh at its relaxed geometry, computed with PBE.

The calculation puts the uncorrected energy at -6.00 eV per atom. The value obtained for the density of states at the Fermi level is 8.24 states/eV/cell. Its formation energy (no corrections) is -656 meV per atom.

The structure belongs to space group Immm (No. 71); the cell edges are 4.247, 5.608 and 14.448 Å and the angles 90.00°, 90.00° and 90.00°. The asymmetric unit holds Ho at (0.000, 0.000, 0.000), Ho at (0.000, 0.500, 0.194), Si at (0.000, 0.292, 0.380) and Rh at (0.000, 0.000, 0.500).

***

Crystalline InIr2Pt at its relaxed geometry, computed with PBE.

The calculation puts the uncorrected energy at -6.31 eV per atom. The value obtained for the density of states at the Fermi level is 7.74 states/eV/cell. Its energy of formation is 320 meV per atom.

The structure belongs to space group Cmmm (No. 65); the cell edges are 2.859, 4.946 and 9.298 Å and the angles 90.00°, 90.00° and 90.00°. The asymmetric unit holds In at (0.000, 0.000, 0.000), Ir at (0.000, 0.500, 0.251) and Pt at (0.000, 0.000, 0.500).

***

Crystalline TlRhCl2 at its relaxed geometry, computed with PBE.

The calculation puts the uncorrected energy at -3.35 eV per atom. The value obtained for the density of states at the Fermi level is 3.20 states/eV/cell. Its formation energy (no corrections) is 0 meV per atom.

The structure belongs to space group P4/mmm (No. 123); the cell edges are 3.442, 3.442 and 7.466 Å and the angles 90.00°, 90.00° and 90.00°. The asymmetric unit holds Tl at (0.000, 0.000, 0.000), Rh at (0.000, 0.000, 0.500) and Cl at (0.500, 0.500, 0.294).

***

Crystalline HoGa6Cu6 at its relaxed geometry, computed with PBE.

The calculation puts the uncorrected energy at -3.93 eV per atom. The value obtained for the density of states at the Fermi level is 6.23 states/eV/cell. Its energy of formation is -291 meV per atom.

The structure belongs to space group Immm (No. 71); the cell edges are 5.165, 8.542 and 8.704 Å and the angles 90.00°, 90.00° and 90.00°. The asymmetric unit holds Ho at (0.000, 0.000, 0.000), Ga at (0.000, 0.000, 0.348), Ga at (0.000, 0.346, 0.000), Ga at (0.000, 0.500, 0.307), Cu at (0.000, 0.267, 0.500) and Cu at (0.250, 0.250, 0.250).

***

Crystalline KTi2CdP at its relaxed geometry, computed with PBE.

The calculation puts the uncorrected energy at -3.54 eV per atom. The value obtained for the density of states at the Fermi level is 8.95 states/eV/cell. Its energy of formation is 1102 meV per atom.

The structure belongs to space group P4/mmm (No. 123); the cell edges are 5.336, 5.336 and 5.119 Å and the angles 90.00°, 90.00° and 90.00°. The asymmetric unit holds K at (0.000, 0.000, 0.000), Ti at (0.000, 0.500, 0.500), Cd at (0.500, 0.500, 0.500) and P at (0.500, 0.500, 0.000).

***

Crystalline Ce2ErC at its relaxed geometry, computed with PBE.

The calculation puts the uncorrected energy at -6.44 eV per atom. The value obtained for the density of states at the Fermi level is 26.46 states/eV/cell. Its energy of formation is -28 meV per atom.

The structure belongs to space group R-3m (No. 166, hexagonal axes); the cell edges are 3.5182, 3.5182 and 27.9987 Å and the angles 90.00°, 90.00° and 120.00°. The asymmetric unit holds Ce at (0.0000, 0.0000, 0.2186), Er at (0.0000, 0.0000, 0.0000) and C at (0.0000, 0.0000, 0.5000).

***

Crystalline PuZr2Sc2 at its relaxed geometry, computed with PBE.

The calculation puts the uncorrected energy at -8.78 eV per atom. The value obtained for the density of states at the Fermi level is 15.43 states/eV/cell. Its energy of formation is 38 meV per atom.

The structure belongs to space group C2/m (No. 12); the cell edges are 10.192, 4.518 and 7.214 Å and the angles 90.00°, 134.84° and 90.00°. The asymmetric unit holds Pu at (0.000, 0.000, 0.000), Zr at (0.103, 0.500, 0.808) and Sc at (0.200, 0.000, 0.601).

***

Crystalline CdTe at its relaxed geometry, computed with PBE.

The calculation puts the uncorrected energy at -2.37 eV per atom. The value obtained for the density of states at the Fermi level is 0.58 states/eV/cell. Its formation energy (no corrections) is -345 meV per atom.

The structure belongs to space group Cm (No. 8); the cell edges are 8.104, 4.707 and 11.163 Å and the angles 90.00°, 91.14° and 90.00°. The asymmetric unit holds Cd at (0.000, 0.000, 0.000), Cd at (0.004, 0.000, 0.563), Cd at (0.167, 0.500, 0.367), Te at (0.172, 0.500, 0.639), Te at (0.332, 0.000, 0.931) and Te at (0.499, 0.500, 0.281).

***

Crystalline CsTiAu2 at its relaxed geometry, computed with PBE.

The calculation puts the uncorrected energy at -3.16 eV per atom. The value obtained for the density of states at the Fermi level is 30.54 states/eV/cell. Its energy of formation is 670 meV per atom.

The structure belongs to space group Fm-3m (No. 225); the cell edges are 7.449, 7.449 and 7.449 Å and the angles 90.00°, 90.00° and 90.00°. The asymmetric unit holds Cs at (0.000, 0.000, 0.000), Ti at (0.000, 0.000, 0.500) and Au at (0.250, 0.250, 0.250).